# SrPr2Sn2

Crystalline SrPr2Sn2 at its relaxed geometry (PBE, Alexandria via LeMat-Bulk).

Results
total magnetic moment = 0.0 Bohr magnetons per cell
density of states at the Fermi level = 7.56 states/eV/cell
relative energy among the computed polymorphs = 0 meV/atom
ΔH_f (0 K) = -647 meV per atom
space group = P4/mbm, No. 127

a = 8.482 Å, b = 8.482 Å, c = 4.608 Å
α = 90.00°, β = 90.00°, γ = 90.00°
Fractional coordinates of all 10 atoms:
1 Sr 0.000 0.000 0.000
2 Sr 0.500 0.500 0.000
3 Pr 0.175 0.325 0.500
4 Pr 0.325 0.825 0.500
5 Pr 0.675 0.175 0.500
6 Pr 0.825 0.675 0.500
7 Sn 0.122 0.622 0.000
8 Sn 0.378 0.122 0.000
9 Sn 0.622 0.878 0.000
10 Sn 0.878 0.378 0.000